Model w:
Density functional theory data (SCAN) for a PBEsol-optimized structure of Ag2TeSe.

Its volume is 21.9 Å³/atom.

The structure belongs to space group Pmm2 (No. 25); the cell edges are 3.0029, 4.1424 and 7.0574 Å and the angles 90.00°, 90.00° and 90.00°. Symmetry generates all atoms from Ag at (0.0000, 0.0000, 0.0000), Ag at (0.5000, 0.5000, 0.2247), Te at (0.5000, 0.5000, 0.7889) and Se at (0.0000, 0.0000, 0.3814).

***

Model x:
Density functional theory data (SCAN) for a PBEsol-optimized structure of Ag2TeSe.

Its volume is 22.2 Å³/atom.

The structure belongs to space group C2/m (No. 12); the cell edges are 5.8508, 7.8074 and 4.5918 Å and the angles 90.00°, 122.04° and 90.00°. Symmetry generates all atoms from Ag at (0.2500, 0.2500, 0.0000), Te at (0.0000, 0.0000, 0.5000) and Se at (0.0000, 0.5000, 0.5000).

***

Model y:
Density functional theory data (SCAN) for a PBEsol-optimized structure of Ag2TeSe.

Its volume is 22.2 Å³/atom.

The structure belongs to space group P2/m (No. 10); the cell edges are 4.6895, 3.8675 and 5.1044 Å and the angles 90.00°, 106.73° and 90.00°. Symmetry generates all atoms from Ag at (0.2358, 0.0000, 0.2590), Te at (0.5000, 0.5000, 0.0000) and Se at (0.0000, 0.5000, 0.5000).

***

Model z:
Density functional theory data (SCAN) for a PBEsol-optimized structure of Ag2TeSe.

Its volume is 21.5 Å³/atom.

The structure belongs to space group C2/m (No. 12); the cell edges are 6.7882, 3.9107 and 6.8693 Å and the angles 90.00°, 109.24° and 90.00°. Symmetry generates all atoms from Ag at (0.2444, 0.0000, 0.2333), Te at (0.0000, 0.0000, 0.5000) and Se at (0.0000, 0.5000, 0.0000).

***

So which one is most stable? That would be model z, about 46 meV/atom below the next structure.